TbHo2Er3 | Alexandria via LeMat-Bulk | PBE | optimized geometry; ΔE_f = 0.0217 eV per atom; polymorph energy (0 for the lowest one) = 19.9 meV per atom
1.0
8.609 -3.512 0.000
8.609 3.512 0.000
-0.003 0.000 6.079
Tb Ho Er
2 4 6
Cartesian
8.607 2.633 4.559
8.608 -2.633 1.520
5.734 0.878 3.544
5.736 -0.878 0.504
11.479 0.878 5.575
11.481 -0.878 2.535
2.873 0.878 5.572
2.874 -0.878 2.533
8.608 0.877 1.520
8.607 -0.877 4.559
14.341 0.878 3.546
14.342 -0.878 0.507

Tb3Ho2Er5 | Alexandria via LeMat-Bulk | PBE | optimized geometry; ΔE_f = 0.2029 eV per atom; polymorph energy (0 for the lowest one) = 0.0 meV per atom
1.0
5.289 -7.784 0.000
5.289 7.784 0.000
-5.276 0.000 7.745
Tb Ho Er
6 4 10
Cartesian
1.285 1.921 0.363
1.332 4.166 5.809
-1.353 -1.921 4.236
6.655 1.921 3.510
3.970 -4.166 1.936
4.017 -1.921 7.382
1.289 1.865 3.500
-1.349 -1.865 7.373
6.651 1.865 0.373
4.013 -1.865 4.245
1.332 7.376 5.809
-1.310 1.785 5.940
3.970 3.560 1.936
1.328 -1.785 2.068
3.970 0.444 1.936
1.332 -0.444 5.809
3.975 1.785 5.678
1.332 -3.560 5.809
6.613 -1.785 1.805
3.970 -7.376 1.936

TbHo2Er7 | Alexandria via LeMat-Bulk | PBE | optimized geometry; ΔE_f = 0.0219 eV per atom; polymorph energy (0 for the lowest one) = 0.0 meV per atom
1.0
6.070 0.000 0.000
1.003 6.000 0.000
3.034 2.567 8.369
Tb Ho Er
1 2 7
Cartesian
0.000 0.000 0.000
4.039 6.514 1.679
6.067 2.053 6.689
2.018 3.771 2.514
3.034 1.540 5.018
5.054 5.310 7.530
5.053 4.283 4.184
5.053 3.257 0.839
7.072 7.027 3.351
8.088 4.796 5.854

Tb4Ho3Er4 | Alexandria via LeMat-Bulk | PBE | optimized geometry; ΔE_f = 0.0581 eV per atom; polymorph energy (0 for the lowest one) = 0.0 meV per atom
1.0
3.482 0.000 0.000
0.000 5.546 0.000
1.737 2.769 17.630
Tb Ho Er
4 3 4
Cartesian
0.868 1.381 7.198
0.868 4.158 2.457
4.351 4.157 15.173
4.352 6.933 10.432
2.610 6.930 13.639
2.610 4.157 8.815
2.610 1.384 3.991
0.869 4.154 5.626
0.871 1.386 0.589
4.349 6.929 17.041
4.351 4.160 12.005

Tb6HoEr2 | Alexandria via LeMat-Bulk | PBE | optimized geometry; ΔE_f = 0.0168 eV per atom; polymorph energy (0 for the lowest one) = 0.0 meV per atom
1.0
3.540 0.000 0.000
-0.013 8.657 0.000
-1.758 -0.004 9.187
Tb Ho Er
6 1 2
Cartesian
0.000 1.438 2.029
-0.005 7.214 4.074
0.000 4.326 6.134
1.768 4.327 3.053
1.773 1.439 5.113
1.768 7.214 7.158
-0.007 4.328 0.000
0.006 1.441 8.173
1.762 7.212 1.014

Tb5Ho2Er5 | Alexandria via LeMat-Bulk | PBE | optimized geometry; ΔE_f = 0.0185 eV per atom
1.0
7.469 -2.492 0.000
7.469 2.492 0.000
-4.978 0.000 9.961
Tb Ho Er
5 2 5
Cartesian
0.000 0.000 0.000
-2.485 0.000 7.472
-0.003 0.000 4.975
9.963 0.000 4.986
12.445 0.000 2.489
2.486 0.000 7.477
7.474 0.000 2.484
2.488 0.000 2.481
-0.005 0.000 9.958
4.980 0.000 4.981
9.966 0.000 0.004
7.473 0.000 7.480